# TcSnH2W

Crystalline TcSnH2W at its relaxed geometry (PBE, Alexandria).

SG: Cm, No. 8
relative energy among the computed polymorphs: 23.8 kJ per mole of atoms
magnetic moment: 0.0 Bohr magnetons per cell

a b c (Å): 4.7247 2.9616 10.2655
angles (deg): 90.00 116.23 90.00
Closest atoms and distances in Å follow each position.
Element x y z (fractional)
W: 0.9023 0.0000 0.6196  3 H 1.91-1.97
W: 0.9023 0.5000 0.1196  3 H 1.91-1.97
Tc: 0.4040 0.5000 0.6180  3 H 1.86-1.92
Sn: 0.3011 0.5000 0.8711  3 Tc 2.79-2.85, 3 W 2.85-2.86, 6 H 2.95-3.11, 2 Sn 2.96
Sn: 0.3011 0.0000 0.3711  3 Tc 2.79-2.85, 3 W 2.85-2.86, 6 H 2.95-3.11, 2 Sn 2.96
H: 0.9667 0.5000 0.5091  1 Tc 1.86, 2 W 1.97
H: 0.9667 0.0000 0.0091  1 Tc 1.86, 2 W 1.97
Tc: 0.4040 0.0000 0.1180  3 H 1.86-1.92
H: 0.6571 0.5000 0.2253  1 W 1.91, 2 Tc 1.92
H: 0.6571 0.0000 0.7253  1 W 1.91, 2 Tc 1.92

***

# Tb2Np2S7

Crystalline Tb2Np2S7 at its relaxed geometry (PBE, Alexandria).

formation energy without anion corrections: -1592 meV/atom
SG: Imm2, No. 44
relative energy among the computed polymorphs: 1.0 kJ per mole of atoms
magnetic moment: 6.0 Bohr magnetons per cell

a b c (Å): 3.9154 8.4096 8.4096
angles (deg): 61.00 76.54 76.54
Closest atoms and distances in Å follow each position.
Element x y z (fractional)
S: 0.6117 0.4957 0.2808  2 Np 2.82, 3 Tb 2.85-2.95, 1 S 3.12
S: 0.8590 0.4195 0.8625  2 Tb 2.81, 3 Np 2.93-3.08
S: 0.1410 0.1375 0.5805  2 Tb 2.81, 3 Np 2.93-3.08
S: 0.1865 0.7054 0.9217  3 Np 2.68-2.79, 1 Tb 2.74
S: 0.3883 0.7192 0.5043  2 Np 2.82, 3 Tb 2.85-2.95, 1 S 3.12
Tb: 0.0000 0.7894 0.2106  8 S 2.72-2.95
Tb: 0.5000 0.3277 0.6723  7 S 2.71-2.85
Np: 0.2564 0.3290 0.1581  7 S 2.68-2.93
S: 0.8135 0.0783 0.2946  3 Np 2.68-2.79, 1 Tb 2.74
S: 0.5000 0.0102 0.9898  3 Tb 2.71-2.72
Np: 0.7436 0.8419 0.6710  7 S 2.68-2.93

***

> Among the records above, which one has the highest magnetic moment?

Tb2Np2S7

***

> Look up the magnetic moment of the second one.

6.0 Bohr magnetons per cell

***

Please write out number 2 again, unchanged.
# Tb2Np2S7

Crystalline Tb2Np2S7 at its relaxed geometry (PBE, Alexandria).

formation energy without anion corrections: -1592 meV/atom
SG: Imm2, No. 44
relative energy among the computed polymorphs: 1.0 kJ per mole of atoms
magnetic moment: 6.0 Bohr magnetons per cell

a b c (Å): 3.9154 8.4096 8.4096
angles (deg): 61.00 76.54 76.54
Closest atoms and distances in Å follow each position.
Element x y z (fractional)
S: 0.6117 0.4957 0.2808  2 Np 2.82, 3 Tb 2.85-2.95, 1 S 3.12
S: 0.8590 0.4195 0.8625  2 Tb 2.81, 3 Np 2.93-3.08
S: 0.1410 0.1375 0.5805  2 Tb 2.81, 3 Np 2.93-3.08
S: 0.1865 0.7054 0.9217  3 Np 2.68-2.79, 1 Tb 2.74
S: 0.3883 0.7192 0.5043  2 Np 2.82, 3 Tb 2.85-2.95, 1 S 3.12
Tb: 0.0000 0.7894 0.2106  8 S 2.72-2.95
Tb: 0.5000 0.3277 0.6723  7 S 2.71-2.85
Np: 0.2564 0.3290 0.1581  7 S 2.68-2.93
S: 0.8135 0.0783 0.2946  3 Np 2.68-2.79, 1 Tb 2.74
S: 0.5000 0.0102 0.9898  3 Tb 2.71-2.72
Np: 0.7436 0.8419 0.6710  7 S 2.68-2.93

***

> What is the magnetic moment in the first record?

0.0 Bohr magnetons per cell